Record 1
# NaY2CoRh GGA-PBE optimized geometry
# - Calculated formation energy: 1.19 eV/atom
# - Total energy: -4.55 eV per atom
# - Mass density: 4.813 g/cm3
data_NaY2CoRh
_chemical_formula_sum 'Na1 Y2 Co1 Rh1'
_cell_length_a 5.3269
_cell_length_b 5.3269
_cell_length_c 4.4095
_cell_angle_alpha 90.00
_cell_angle_beta 90.00
_cell_angle_gamma 90.00
_symmetry_space_group_name_H-M 'P 4/m m m'
_symmetry_Int_Tables_number 123
_symmetry_space_group_name_Hall '-P 4 2'
loop_
_atom_site_label
_atom_site_fract_x
_atom_site_fract_y
_atom_site_fract_z
Na1 0.0000 0.0000 0.0000
Y1 0.0000 0.5000 0.0000
Co1 0.5000 0.5000 0.5000
Rh1 0.0000 0.0000 0.5000

***

Record 2
# Np2TiTl3S6 GGA-PBE optimized geometry
# - Total energy: -6.47 eV per atom
# - Formation energy without anion corrections: -999 meV/atom
# - Mass density: 7.405 g/cm3
data_Np2TiTl3S6
_chemical_formula_sum 'Np4 Ti2 Tl6 S12'
_cell_length_a 6.7327
_cell_length_b 11.6292
_cell_length_c 7.9259
_cell_angle_alpha 90.00
_cell_angle_beta 106.38
_cell_angle_gamma 90.00
_symmetry_space_group_name_H-M 'C 1 2/m 1'
_symmetry_Int_Tables_number 12
loop_
_symmetry_equiv_pos_as_xyz
'x,y,z'
'-x,-y,-z'
'-x,y,-z'
'x,-y,z'
'x+1/2,y+1/2,z'
'-x+1/2,-y+1/2,-z'
'-x+1/2,y+1/2,-z'
'x+1/2,-y+1/2,z'
loop_
_atom_site_label
_atom_site_fract_x
_atom_site_fract_y
_atom_site_fract_z
Np1 0.0000 0.1660 0.0000
Ti1 0.0000 0.5000 0.0000
Tl1 0.0000 0.0000 0.5000
Tl2 0.0000 0.3283 0.5000
S1 0.2192 0.3437 0.1888
S2 0.2479 0.5000 0.8059

***

Record 3
# CdAsPd3 GGA-PBE optimized geometry
# - Distance to the lowest polymorph of the same formula: 15 meV per atom
# - Calculated formation energy: -0.31 eV/atom
# - Total energy: -4.54 eV per atom
# - Mass density: 9.978 g/cm3
data_CdAsPd3
_chemical_formula_sum 'Cd2 As2 Pd6'
_cell_length_a 5.5309
_cell_length_b 5.6142
_cell_length_c 6.7882
_cell_angle_alpha 78.72
_cell_angle_beta 65.96
_cell_angle_gamma 61.15
_symmetry_space_group_name_H-M 'P 1'
_symmetry_Int_Tables_number 1
loop_
_symmetry_equiv_pos_as_xyz
'x,y,z'
loop_
_atom_site_label
_atom_site_fract_x
_atom_site_fract_y
_atom_site_fract_z
Cd1 0.0000 0.0000 0.0000
Cd2 0.4543 0.7187 0.5689
As1 0.0034 0.4260 0.2024
As2 0.6301 0.0356 0.7470
Pd1 0.0321 0.7334 0.4024
Pd2 0.4407 0.9461 0.1476
Pd3 0.4792 0.4568 0.9778
Pd4 0.5401 0.2451 0.4065
Pd5 0.9854 0.2234 0.5664
Pd6 0.9935 0.5516 0.8352

***

Record 4
# CsLaSb2Au2 GGA-PBE optimized geometry
# - Total energy: -4.20 eV per atom
# - Formation energy without anion corrections: -771 meV/atom
# - Mass density: 7.698 g/cm3
data_CsLaSb2Au2
_chemical_formula_sum 'Cs1 La1 Sb2 Au2'
_cell_length_a 4.7626
_cell_length_b 4.7626
_cell_length_c 9.9850
_cell_angle_alpha 90.00
_cell_angle_beta 90.00
_cell_angle_gamma 120.00
_symmetry_space_group_name_H-M 'P -3 m 1'
_symmetry_Int_Tables_number 164
_symmetry_space_group_name_Hall '-P 3 2"'
loop_
_atom_site_label
_atom_site_fract_x
_atom_site_fract_y
_atom_site_fract_z
Cs1 0.0000 0.0000 0.0000
La1 0.0000 0.0000 0.5000
Sb1 0.3333 0.6667 0.7085
Au1 0.3333 0.6667 0.3121

***

Record 5
# Pm2ZnPPt6 GGA-PBE optimized geometry
# - Calculated formation energy: -0.87 eV/atom
# - Total energy: -6.12 eV per atom
# - Mass density: 13.133 g/cm3
data_Pm2ZnPPt6
_chemical_formula_sum 'Pm4 Zn2 P2 Pt12'
_cell_length_a 5.5756
_cell_length_b 8.6906
_cell_length_c 8.1253
_cell_angle_alpha 90.00
_cell_angle_beta 90.00
_cell_angle_gamma 90.00
_symmetry_space_group_name_H-M 'P m m n'
_symmetry_Int_Tables_number 59
loop_
_symmetry_equiv_pos_as_xyz
'x,y,z'
'-x,-y,-z'
'-x+1/2,-y+1/2,z'
'x+1/2,y+1/2,-z'
'x+1/2,-y,-z'
'-x+1/2,y,z'
'-x,y+1/2,-z'
'x,-y+1/2,z'
loop_
_atom_site_label
_atom_site_fract_x
_atom_site_fract_y
_atom_site_fract_z
Pm1 0.2500 0.0173 0.2277
Zn1 0.2500 0.7500 0.7838
P1 0.2500 0.2500 0.7329
Pt1 0.0028 0.7500 0.5129
Pt2 0.0035 0.7500 0.0416
Pt3 0.2500 0.0028 0.6143

***

Record 6
# Ca3HfNb3N8 GGA-PBE optimized geometry
# - Total energy: -8.66 eV per atom
# - Formation energy without anion corrections: -1143 meV/atom
# - Mass density: 5.802 g/cm3
data_Ca3HfNb3N8
_chemical_formula_sum 'Ca9 Hf3 Nb9 N24'
_cell_length_a 6.3521
_cell_length_b 6.3521
_cell_length_c 16.9395
_cell_angle_alpha 90.00
_cell_angle_beta 90.00
_cell_angle_gamma 120.00
_symmetry_space_group_name_H-M 'R -3 m'
_symmetry_Int_Tables_number 166
_symmetry_space_group_name_Hall '-R 3 2"'
loop_
_atom_site_label
_atom_site_fract_x
_atom_site_fract_y
_atom_site_fract_z
Ca1 0.0000 0.5000 0.0000
Hf1 0.0000 0.0000 0.5000
Nb1 0.0000 0.5000 0.5000
N1 0.0000 0.0000 0.2392
N2 0.0041 0.5020 0.7660

***

Record 7
# KInCl3 GGA-PBE optimized geometry
# - Total energy: -3.29 eV per atom
# - Formation energy without anion corrections: -1415 meV/atom
# - Mass density: 2.261 g/cm3
data_KInCl3
_chemical_formula_sum 'K4 In4 Cl12'
_cell_length_a 8.1884
_cell_length_b 7.2694
_cell_length_c 14.0158
_cell_angle_alpha 90.00
_cell_angle_beta 113.57
_cell_angle_gamma 90.00
_symmetry_space_group_name_H-M 'P 1 21/c 1'
_symmetry_Int_Tables_number 14
loop_
_symmetry_equiv_pos_as_xyz
'x,y,z'
'-x,-y,-z'
'-x,y+1/2,-z+1/2'
'x,-y+1/2,z+1/2'
loop_
_atom_site_label
_atom_site_fract_x
_atom_site_fract_y
_atom_site_fract_z
K1 0.1996 0.1013 0.1758
In1 0.3625 0.6067 0.4320
Cl1 0.1333 0.0377 0.7783
Cl2 0.1670 0.7310 0.5108
Cl3 0.4775 0.6503 0.8534

***

Record 8
# La3YHo3 GGA-PBE optimized geometry
# - Distance to the lowest polymorph of the same formula: 98 meV per atom
# - Calculated formation energy: 0.14 eV/atom
# - Total energy: -4.86 eV per atom
# - Mass density: 6.847 g/cm3
data_La3YHo3
_chemical_formula_sum 'La18 Y6 Ho18'
_cell_length_a 9.4663
_cell_length_b 9.4663
_cell_length_c 18.7594
_cell_angle_alpha 90.00
_cell_angle_beta 90.00
_cell_angle_gamma 120.00
_symmetry_space_group_name_H-M 'R -3'
_symmetry_Int_Tables_number 148
_symmetry_space_group_name_Hall '-R 3'
loop_
_atom_site_label
_atom_site_fract_x
_atom_site_fract_y
_atom_site_fract_z
La1 0.0489 0.2425 0.0776
Y1 0.0000 0.0000 0.4085
Ho1 0.0508 0.2355 0.2605

***

Record 9
# Sm2PuTl GGA-PBE optimized geometry
# - Distance to the lowest polymorph of the same formula: 10 meV per atom
# - Calculated formation energy: -0.07 eV/atom
# - Total energy: -6.60 eV per atom
# - Mass density: 10.515 g/cm3
data_Sm2PuTl
_chemical_formula_sum 'Sm2 Pu1 Tl1'
_cell_length_a 3.6384
_cell_length_b 3.6384
_cell_length_c 8.9360
_cell_angle_alpha 90.00
_cell_angle_beta 90.00
_cell_angle_gamma 90.00
_symmetry_space_group_name_H-M 'P 4/m m m'
_symmetry_Int_Tables_number 123
_symmetry_space_group_name_Hall '-P 4 2'
loop_
_atom_site_label
_atom_site_fract_x
_atom_site_fract_y
_atom_site_fract_z
Sm1 0.0000 0.0000 0.2381
Pu1 0.5000 0.5000 0.5000
Tl1 0.5000 0.5000 0.0000

***

Record 10
# TlCu2Sn2 GGA-PBE optimized geometry
# - Distance to the lowest polymorph of the same formula: 53 meV per atom
# - Calculated formation energy: 0.21 eV/atom
# - Total energy: -3.50 eV per atom
# - Mass density: 8.704 g/cm3
data_TlCu2Sn2
_chemical_formula_sum 'Tl2 Cu4 Sn4'
_cell_length_a 8.4029
_cell_length_b 8.4029
_cell_length_c 3.0743
_cell_angle_alpha 90.00
_cell_angle_beta 90.00
_cell_angle_gamma 90.00
_symmetry_space_group_name_H-M 'P 4/m b m'
_symmetry_Int_Tables_number 127
_symmetry_space_group_name_Hall '-P 4 2ab'
loop_
_atom_site_label
_atom_site_fract_x
_atom_site_fract_y
_atom_site_fract_z
Tl1 0.0000 0.0000 0.0000
Cu1 0.1520 0.3480 0.5000
Sn1 0.1399 0.6399 0.0000

***

Record 11
# CsRb2Sb2Pb2 GGA-PBE optimized geometry
# - Total energy: -2.93 eV per atom
# - Formation energy without anion corrections: -297 meV/atom
# - Mass density: 4.245 g/cm3
data_CsRb2Sb2Pb2
_chemical_formula_sum 'Cs2 Rb4 Sb4 Pb4'
_cell_length_a 15.0348
_cell_length_b 4.6339
_cell_length_c 11.3037
_cell_angle_alpha 90.00
_cell_angle_beta 107.15
_cell_angle_gamma 90.00
_symmetry_space_group_name_H-M 'C 1 2/m 1'
_symmetry_Int_Tables_number 12
loop_
_symmetry_equiv_pos_as_xyz
'x,y,z'
'-x,-y,-z'
'-x,y,-z'
'x,-y,z'
'x+1/2,y+1/2,z'
'-x+1/2,-y+1/2,-z'
'-x+1/2,y+1/2,-z'
'x+1/2,-y+1/2,z'
loop_
_atom_site_label
_atom_site_fract_x
_atom_site_fract_y
_atom_site_fract_z
Cs1 0.0000 0.0000 0.0000
Rb1 0.2071 0.5000 0.6409
Sb1 0.0913 0.5000 0.2973
Pb1 0.0157 0.0000 0.6488

***

Q: Which of these has the lowest mass density?
A: KInCl3

***

Copy entry 3 word for word.
# CdAsPd3 GGA-PBE optimized geometry
# - Distance to the lowest polymorph of the same formula: 15 meV per atom
# - Calculated formation energy: -0.31 eV/atom
# - Total energy: -4.54 eV per atom
# - Mass density: 9.978 g/cm3
data_CdAsPd3
_chemical_formula_sum 'Cd2 As2 Pd6'
_cell_length_a 5.5309
_cell_length_b 5.6142
_cell_length_c 6.7882
_cell_angle_alpha 78.72
_cell_angle_beta 65.96
_cell_angle_gamma 61.15
_symmetry_space_group_name_H-M 'P 1'
_symmetry_Int_Tables_number 1
loop_
_symmetry_equiv_pos_as_xyz
'x,y,z'
loop_
_atom_site_label
_atom_site_fract_x
_atom_site_fract_y
_atom_site_fract_z
Cd1 0.0000 0.0000 0.0000
Cd2 0.4543 0.7187 0.5689
As1 0.0034 0.4260 0.2024
As2 0.6301 0.0356 0.7470
Pd1 0.0321 0.7334 0.4024
Pd2 0.4407 0.9461 0.1476
Pd3 0.4792 0.4568 0.9778
Pd4 0.5401 0.2451 0.4065
Pd5 0.9854 0.2234 0.5664
Pd6 0.9935 0.5516 0.8352

***

Q: Which formula does entry 10 have?
A: TlCu2Sn2